(1)
# Rb5HgF8 GGA-PBE relaxed
data_Rb5HgF8
_cell_length_a 8.2261
_cell_length_b 8.2261
_cell_length_c 8.6226
_cell_angle_alpha 90.00
_cell_angle_beta 90.00
_cell_angle_gamma 90.00
_space_group_name_H-M_alt 'I -4'
_space_group_IT_number 82
_space_group_name_Hall 'I -4'
loop_
_atom_site_label
_atom_site_type_symbol
_atom_site_fract_x
_atom_site_fract_y
_atom_site_fract_z
_atom_site_occupancy
Rb1 Rb 0.0000 0.0000 0.0000 1
Rb2 Rb 0.1310 0.2634 0.3819 1
Hg1 Hg 0.0000 0.5000 0.7500 1
F1 F 0.0500 0.2424 0.7151 1
F2 F 0.0858 0.3258 0.0591 1
# Uncorrected formation energy = -2.24 eV/atom

=====

(2)
# RbHgF3 GGA-PBE relaxed
data_RbHgF3
_cell_length_a 5.0374
_cell_length_b 5.0374
_cell_length_c 16.0956
_cell_angle_alpha 90.00
_cell_angle_beta 90.00
_cell_angle_gamma 90.00
_space_group_name_H-M_alt 'I -4 m 2'
_space_group_IT_number 119
_space_group_name_Hall 'I -4 -2'
loop_
_atom_site_label
_atom_site_type_symbol
_atom_site_fract_x
_atom_site_fract_y
_atom_site_fract_z
_atom_site_occupancy
Rb1 Rb 0.0000 0.0000 0.1038 1
Hg1 Hg 0.0000 0.0000 0.5000 1
Hg2 Hg 0.0000 0.5000 0.2500 1
F1 F 0.0000 0.2429 0.3599 1
F2 F 0.0000 0.5000 0.5246 1
# Uncorrected formation energy = -1.73 eV/atom

=====

(3)
# Rb2HgF3 GGA-PBE relaxed
data_Rb2HgF3
_cell_length_a 12.5891
_cell_length_b 5.7456
_cell_length_c 7.7546
_cell_angle_alpha 90.00
_cell_angle_beta 107.89
_cell_angle_gamma 90.00
_space_group_name_H-M_alt 'C 1 2/c 1'
_space_group_IT_number 15
_space_group_name_Hall '-C 2yc'
loop_
_atom_site_label
_atom_site_type_symbol
_atom_site_fract_x
_atom_site_fract_y
_atom_site_fract_z
_atom_site_occupancy
Rb1 Rb 0.1645 0.0009 0.0822 1
Hg1 Hg 0.0000 0.4894 0.7500 1
F1 F 0.0000 0.0497 0.7500 1
F2 F 0.1567 0.4989 0.5788 1
# Uncorrected formation energy = -2.03 eV/atom

=====

(4)
# Rb3Hg4F12 GGA-PBE relaxed
data_Rb3Hg4F12
_cell_length_a 9.0842
_cell_length_b 9.0842
_cell_length_c 9.0842
_cell_angle_alpha 90.00
_cell_angle_beta 90.00
_cell_angle_gamma 90.00
_space_group_name_H-M_alt 'I m -3'
_space_group_IT_number 204
_space_group_name_Hall '-I 2 2 3'
loop_
_atom_site_label
_atom_site_type_symbol
_atom_site_fract_x
_atom_site_fract_y
_atom_site_fract_z
_atom_site_occupancy
Rb1 Rb 0.0000 0.0000 0.5000 1
Hg1 Hg 0.2500 0.2500 0.2500 1
F1 F 0.0000 0.2438 0.2811 1
# Uncorrected formation energy = -1.83 eV/atom

=====

(5)
# Rb5Hg3F12 GGA-PBE relaxed
data_Rb5Hg3F12
_cell_length_a 15.7142
_cell_length_b 15.7142
_cell_length_c 15.7142
_cell_angle_alpha 90.00
_cell_angle_beta 90.00
_cell_angle_gamma 90.00
_space_group_name_H-M_alt 'I a -3 d'
_space_group_IT_number 230
_space_group_name_Hall '-I 4bd 2c 3'
loop_
_atom_site_label
_atom_site_type_symbol
_atom_site_fract_x
_atom_site_fract_y
_atom_site_fract_z
_atom_site_occupancy
Rb1 Rb 0.0000 0.0000 0.0000 1
Rb2 Rb 0.0000 0.2500 0.3750 1
Hg1 Hg 0.0000 0.2500 0.1250 1
F1 F 0.0290 0.0536 0.3333 1
# Energy above the lowest structure with this stoichiometry = 1.02 eV/f.u.
# Uncorrected formation energy = -2.03 eV/atom

=====

(6)
# Rb4HgF2 GGA-PBE relaxed
data_Rb4HgF2
_cell_length_a 6.5446
_cell_length_b 6.5446
_cell_length_c 16.2985
_cell_angle_alpha 90.00
_cell_angle_beta 90.00
_cell_angle_gamma 90.00
_space_group_name_H-M_alt 'I 4/m m m'
_space_group_IT_number 139
_space_group_name_Hall '-I 4 2'
loop_
_atom_site_label
_atom_site_type_symbol
_atom_site_fract_x
_atom_site_fract_y
_atom_site_fract_z
_atom_site_occupancy
Rb1 Rb 0.0000 0.0000 0.2441 1
Rb2 Rb 0.0000 0.5000 0.0000 1
Hg1 Hg 0.0000 0.0000 0.5000 1
F1 F 0.0000 0.0000 0.0940 1
# Uncorrected formation energy = -1.18 eV/atom

=====

(7)
# Rb6Hg2F GGA-PBE relaxed
data_Rb6Hg2F
_cell_length_a 8.2347
_cell_length_b 9.5309
_cell_length_c 14.2319
_cell_angle_alpha 90.00
_cell_angle_beta 123.91
_cell_angle_gamma 90.00
_space_group_name_H-M_alt 'P 1 21/c 1'
_space_group_IT_number 14
_space_group_name_Hall '-P 2ybc'
loop_
_atom_site_label
_atom_site_type_symbol
_atom_site_fract_x
_atom_site_fract_y
_atom_site_fract_z
_atom_site_occupancy
Rb1 Rb 0.1375 0.0189 0.2368 1
Rb2 Rb 0.2062 0.7079 0.0497 1
Rb3 Rb 0.3435 0.1575 0.0453 1
Hg1 Hg 0.2903 0.1057 0.7447 1
F1 F 0.0000 0.0000 0.0000 1
# Uncorrected formation energy = -0.66 eV/atom

=====

(8)
# RbHgF GGA-PBE relaxed
data_RbHgF
_cell_length_a 7.1679
_cell_length_b 7.1679
_cell_length_c 7.1679
_cell_angle_alpha 90.00
_cell_angle_beta 90.00
_cell_angle_gamma 90.00
_space_group_name_H-M_alt 'F -4 3 m'
_space_group_IT_number 216
_space_group_name_Hall 'F -4 2 3'
loop_
_atom_site_label
_atom_site_type_symbol
_atom_site_fract_x
_atom_site_fract_y
_atom_site_fract_z
_atom_site_occupancy
Rb1 Rb 0.0000 0.0000 0.0000 1
Hg1 Hg 0.0000 0.0000 0.5000 1
F1 F 0.2500 0.2500 0.2500 1
# Energy above the lowest structure with this stoichiometry = 0.66 eV/f.u.
# Uncorrected formation energy = -1.50 eV/atom

=====

(9)
# RbHg2F6 GGA-PBE relaxed
data_RbHg2F6
_cell_length_a 6.2272
_cell_length_b 6.2272
_cell_length_c 5.5900
_cell_angle_alpha 90.00
_cell_angle_beta 90.00
_cell_angle_gamma 120.00
_space_group_name_H-M_alt 'P -3 1 m'
_space_group_IT_number 162
_space_group_name_Hall '-P 3 2'
loop_
_atom_site_label
_atom_site_type_symbol
_atom_site_fract_x
_atom_site_fract_y
_atom_site_fract_z
_atom_site_occupancy
Rb1 Rb 0.0000 0.0000 0.0000 1
Hg1 Hg 0.3333 0.6667 0.5000 1
F1 F 0.0000 0.3746 0.7074 1
# Uncorrected formation energy = -1.62 eV/atom

=====

(10)
# Rb12Hg3F5 GGA-PBE relaxed
data_Rb12Hg3F5
_cell_length_a 18.9916
_cell_length_b 18.9916
_cell_length_c 18.9916
_cell_angle_alpha 90.00
_cell_angle_beta 90.00
_cell_angle_gamma 90.00
_space_group_name_H-M_alt 'I a -3 d'
_space_group_IT_number 230
_space_group_name_Hall '-I 4bd 2c 3'
loop_
_atom_site_label
_atom_site_type_symbol
_atom_site_fract_x
_atom_site_fract_y
_atom_site_fract_z
_atom_site_occupancy
Rb1 Rb 0.0359 0.0443 0.6476 1
Hg1 Hg 0.0000 0.2500 0.1250 1
F1 F 0.0000 0.0000 0.0000 1
F2 F 0.0000 0.2500 0.3750 1
# Uncorrected formation energy = -1.30 eV/atom

=====

(11)
# Rb2HgF7 GGA-PBE relaxed
data_Rb2HgF7
_cell_length_a 13.7428
_cell_length_b 8.0085
_cell_length_c 9.6817
_cell_angle_alpha 90.00
_cell_angle_beta 133.12
_cell_angle_gamma 90.00
_space_group_name_H-M_alt 'C 1 2/c 1'
_space_group_IT_number 15
_space_group_name_Hall '-C 2yc'
loop_
_atom_site_label
_atom_site_type_symbol
_atom_site_fract_x
_atom_site_fract_y
_atom_site_fract_z
_atom_site_occupancy
Rb1 Rb 0.1641 0.0913 0.0727 1
Hg1 Hg 0.0000 0.3971 0.2500 1
F1 F 0.0000 0.1042 0.2500 1
F2 F 0.0742 0.2772 0.7535 1
F3 F 0.0954 0.3888 0.1614 1
F4 F 0.1819 0.4073 0.5155 1
# Energy above the lowest structure with this stoichiometry = 0.00 eV/f.u.
# Uncorrected formation energy = -1.57 eV/atom

=====

(12)
# Rb4HgF7 GGA-PBE relaxed
data_Rb4HgF7
_cell_length_a 13.9844
_cell_length_b 4.7892
_cell_length_c 9.5228
_cell_angle_alpha 90.00
_cell_angle_beta 124.79
_cell_angle_gamma 90.00
_space_group_name_H-M_alt 'C 1 2/m 1'
_space_group_IT_number 12
_space_group_name_Hall '-C 2y'
loop_
_atom_site_label
_atom_site_type_symbol
_atom_site_fract_x
_atom_site_fract_y
_atom_site_fract_z
_atom_site_occupancy
Rb1 Rb 0.0778 0.0000 0.2670 1
Rb2 Rb 0.2374 0.0000 0.8435 1
Hg1 Hg 0.0000 0.5000 0.5000 1
F1 F 0.0000 0.0000 0.5000 1
F2 F 0.0733 0.5000 0.7682 1
F3 F 0.1396 0.0000 0.0379 1
F4 F 0.1668 0.5000 0.5315 1
# Uncorrected formation energy = -2.21 eV/atom

=====

(13)
# Rb5Hg2F12 GGA-PBE relaxed
data_Rb5Hg2F12
_cell_length_a 13.4871
_cell_length_b 7.4445
_cell_length_c 8.0956
_cell_angle_alpha 90.00
_cell_angle_beta 92.28
_cell_angle_gamma 90.00
_space_group_name_H-M_alt 'C 1 2/m 1'
_space_group_IT_number 12
_space_group_name_Hall '-C 2y'
loop_
_atom_site_label
_atom_site_type_symbol
_atom_site_fract_x
_atom_site_fract_y
_atom_site_fract_z
_atom_site_occupancy
Rb1 Rb 0.0000 0.0000 0.0000 1
Rb2 Rb 0.2167 0.5000 0.7533 1
Rb3 Rb 0.2302 0.5000 0.2573 1
Hg1 Hg 0.0000 0.2492 0.5000 1
F1 F 0.0042 0.5000 0.6822 1
F2 F 0.0205 0.0000 0.6770 1
F3 F 0.1571 0.2480 0.4920 1
F4 F 0.1738 0.2302 0.0037 1
# Energy above the lowest structure with this stoichiometry = 0.00 eV/f.u.
# Uncorrected formation energy = -1.94 eV/atom

=====

(14)
# RbHgF4 GGA-PBE relaxed
data_RbHgF4
_cell_length_a 13.7481
_cell_length_b 6.0728
_cell_length_c 6.2064
_cell_angle_alpha 90.00
_cell_angle_beta 113.74
_cell_angle_gamma 90.00
_space_group_name_H-M_alt 'C 1 2/c 1'
_space_group_IT_number 15
_space_group_name_Hall '-C 2yc'
loop_
_atom_site_label
_atom_site_type_symbol
_atom_site_fract_x
_atom_site_fract_y
_atom_site_fract_z
_atom_site_occupancy
Rb1 Rb 0.0000 0.2277 0.2500 1
Hg1 Hg 0.2500 0.2500 0.0000 1
F1 F 0.1089 0.3900 0.9758 1
F2 F 0.1686 0.0579 0.6933 1
# Energy above the lowest structure with this stoichiometry = 0.00 eV/f.u.
# Uncorrected formation energy = -1.76 eV/atom